# CaLaNi2O (GGA+U, relaxed)
data_CaLaNi2O
_chemical_formula_sum 'Ca1 La1 Ni2 O1'
_cell_length_a 4.684
_cell_length_b 4.684
_cell_length_c 4.424
_cell_angle_alpha 90.00
_cell_angle_beta 90.00
_cell_angle_gamma 90.00
_space_group_name_H-M_alt 'P 4/m m m'
_space_group_IT_number 123
_space_group_name_Hall '-P 4 2'
loop_
_atom_site_label
_atom_site_fract_x
_atom_site_fract_y
_atom_site_fract_z
Ca1 0.000 0.000 0.000
La1 0.500 0.500 0.500
Ni1 0.000 0.500 0.000
O1 0.000 0.000 0.500
# * VASP energy: -3.07 eV per atom
# * spin magnetization: 0.00 Bohr magnetons per cell